Model A:
A plane-wave DFT calculation with GGA-PBE was carried out for crystalline Dy2ErCo2 at its relaxed geometry.

The space group is C2/m (No. 12) and the conventional cell measures 12.301, 3.793 and 10.815 Å, with angles of 90.00, 120.45 and 90.00 degrees. The inequivalent atoms are Dy at (0.036, 0.000, 0.195), Dy at (0.165, 0.000, 0.574), Er at (0.214, 0.500, 0.861), Co at (0.010, 0.500, 0.394) and Co at (0.107, 0.500, 0.049).


Model B:
A plane-wave DFT calculation with GGA-PBE was carried out for crystalline Dy2ErCo2 at its relaxed geometry.

The space group is C2/m (No. 12) and the conventional cell measures 10.912, 3.880 and 6.043 Å, with angles of 90.00, 121.56 and 90.00 degrees. The inequivalent atoms are Dy at (0.193, 0.000, 0.185), Er at (0.000, 0.000, 0.500) and Co at (0.017, 0.500, 0.828).


Most stable: model B


Model A:
A plane-wave DFT calculation with GGA-PBE was carried out for crystalline DyErGaCo at its relaxed geometry.

The space group is Amm2 (No. 38) and the conventional cell measures 4.231, 3.857 and 10.494 Å, with angles of 90.00, 90.00 and 90.00 degrees. The inequivalent atoms are Dy at (0.000, 0.000, 0.000), Er at (0.500, 0.000, 0.716), Ga at (0.500, 0.000, 0.423) and Co at (0.000, 0.000, 0.293).


Model B:
A plane-wave DFT calculation with GGA-PBE was carried out for crystalline DyErGaCo at its relaxed geometry.

The space group is F-43m (No. 216) and the conventional cell measures 6.921, 6.921 and 6.921 Å, with angles of 90.00, 90.00 and 90.00 degrees. The inequivalent atoms are Dy at (0.000, 0.000, 0.000), Er at (0.000, 0.000, 0.500), Ga at (0.250, 0.250, 0.250) and Co at (0.250, 0.250, 0.750).


Most stable: model A


Model A:
A plane-wave DFT calculation with GGA-PBE was carried out for crystalline DyErCoNi at its relaxed geometry.

The space group is F-43m (No. 216) and the conventional cell measures 6.675, 6.675 and 6.675 Å, with angles of 90.00, 90.00 and 90.00 degrees. The inequivalent atoms are Dy at (0.000, 0.000, 0.000), Er at (0.000, 0.000, 0.500), Co at (0.250, 0.250, 0.250) and Ni at (0.250, 0.250, 0.750).


Model B:
A plane-wave DFT calculation with GGA-PBE was carried out for crystalline DyErCoNi at its relaxed geometry.

The space group is Amm2 (No. 38) and the conventional cell measures 3.945, 3.816 and 10.377 Å, with angles of 90.00, 90.00 and 90.00 degrees. The inequivalent atoms are Dy at (0.000, 0.000, 0.000), Er at (0.500, 0.000, 0.716), Co at (0.000, 0.000, 0.287) and Ni at (0.500, 0.000, 0.424).


Most stable: model B